SrUGa2Pt5 | GGA-PBE | relaxed

It has space group P4/mmm (No. 123), with a = 4.0893 Å, b = 4.0893 Å, c = 11.9144 Å, α = 90.00°, β = 90.00° and γ = 90.00°. The inequivalent atoms are Sr at (0.0000, 0.0000, 0.0000), U at (0.0000, 0.0000, 0.5000), Ga at (0.5000, 0.5000, 0.2049), Pt at (0.0000, 0.5000, 0.3357) and Pt at (0.5000, 0.5000, 0.0000).

The calculation puts the volume at 199.2 Å³ per cell. The formation enthalpy at 0 K comes out at -0.63 eV per atom. The density of states at the Fermi level is 8.376 states/eV per cell. As for the crystal system: tetragonal.